1.
# Rb3BaTa (SCAN, PBEsol geometry)
# * formation energy: 6.7 eV/f.u.
data_Rb3BaTa
_symmetry_space_group_name_H-M 'P m -3 m'
_symmetry_Int_Tables_number 221
_symmetry_space_group_name_Hall '-P 4 2 3'
_cell_length_a 6.939
_cell_length_b 6.939
_cell_length_c 6.939
_cell_angle_alpha 90.00
_cell_angle_beta 90.00
_cell_angle_gamma 90.00
loop_
_atom_site_label
_atom_site_type_symbol
_atom_site_fract_x
_atom_site_fract_y
_atom_site_fract_z
Rb1 Rb 0.000 0.000 0.500
Ba1 Ba 0.500 0.500 0.500
Ta1 Ta 0.000 0.000 0.000

2.
# CrCdIn2 (SCAN, PBEsol geometry)
# * formation energy: 0.7 eV/f.u.
data_CrCdIn2
_symmetry_space_group_name_H-M 'R 3 m'
_symmetry_Int_Tables_number 160
_symmetry_space_group_name_Hall 'R 3 -2"'
_cell_length_a 3.2338
_cell_length_b 3.2338
_cell_length_c 28.1813
_cell_angle_alpha 90.00
_cell_angle_beta 90.00
_cell_angle_gamma 120.00
loop_
_atom_site_label
_atom_site_type_symbol
_atom_site_fract_x
_atom_site_fract_y
_atom_site_fract_z
Cr1 Cr 0.0000 0.0000 0.0000
Cd1 Cd 0.0000 0.0000 0.2576
In1 In 0.0000 0.0000 0.5015
In2 In 0.0000 0.0000 0.7430

3.
# Li4VB2O6 (SCAN, PBEsol geometry)
# * energy: -8.55 eV/atom
data_Li4VB2O6
_symmetry_space_group_name_H-M 'P n n m'
_symmetry_Int_Tables_number 58
_symmetry_space_group_name_Hall '-P 2 2n'
_cell_length_a 7.706
_cell_length_b 9.139
_cell_length_c 3.304
_cell_angle_alpha 90.00
_cell_angle_beta 90.00
_cell_angle_gamma 90.00
loop_
_atom_site_label
_atom_site_type_symbol
_atom_site_fract_x
_atom_site_fract_y
_atom_site_fract_z
Li1 Li 0.010 0.201 0.000
Li2 Li 0.176 0.054 0.500
V1 V 0.000 0.500 0.500
B1 B 0.227 0.798 0.500
O1 O 0.070 0.865 0.500
O2 O 0.121 0.385 0.000
O3 O 0.240 0.646 0.500

4.
# BeRh2Pb (SCAN, PBEsol geometry)
# * formation energy: -0.4 eV/f.u.
# * offset from the most stable computed form: 0.016 eV per atom
data_BeRh2Pb
_symmetry_space_group_name_H-M 'I m m m'
_symmetry_Int_Tables_number 71
_symmetry_space_group_name_Hall '-I 2 2'
_cell_length_a 3.678
_cell_length_b 4.483
_cell_length_c 7.070
_cell_angle_alpha 90.00
_cell_angle_beta 90.00
_cell_angle_gamma 90.00
loop_
_atom_site_label
_atom_site_type_symbol
_atom_site_fract_x
_atom_site_fract_y
_atom_site_fract_z
Be1 Be 0.000 0.000 0.000
Rh1 Rh 0.000 0.500 0.288
Pb1 Pb 0.000 0.000 0.500